First-principles (GGA-PBE) data for a relaxed structure of SiNi2, as listed in the Alexandria database.

Properties
DFT total energy, eV/cell: -36.62
Formation energy from raw total energies, meV/atom: -441

a b c (Å): 4.5928 4.5928 6.0987
angles (deg): 70.75 70.75 33.04
Fractional coordinates of all 6 atoms:
1 Si 0.9667 0.9667 0.2704
2 Si 0.0333 0.0333 0.7296
3 Ni 0.3412 0.3412 0.6079
4 Ni 0.6448 0.6448 0.9613
5 Ni 0.6588 0.6588 0.3921
6 Ni 0.3552 0.3552 0.0387